1.
ScInIr2 | GGA-PBE | optimized geometry

Summary:
E_form = -0.2183 eV per atom
calculated density = 12.70 g cm⁻³
DOS at the Fermi energy = 3.96 states/eV per cell

Lattice parameters (Å, degrees): 2.9737 2.9737 8.0449 90.00 90.00 90.00
Sites, in units of the cell vectors:
Sc 0.0000 0.0000 0.0000
In 0.5000 0.5000 0.3162
Ir 0.0000 0.0000 0.5514
Ir 0.5000 0.5000 0.7803



2.
ScInIr2 | GGA-PBE | optimized geometry

Summary:
E_form = 0.0646 eV per atom
calculated density = 11.54 g cm⁻³
DOS at the Fermi energy = 6.45 states/eV per cell

Lattice parameters (Å, degrees): 9.3434 9.3434 9.3434 153.99 153.99 37.11
Sites, in units of the cell vectors:
Sc 0.0000 0.0000 0.0000
Sc 0.7500 0.2500 0.5000
In 0.2500 0.7500 0.5000
In 0.5000 0.5000 0.0000
Ir 0.0755 0.6250 0.9505
Ir 0.3750 0.3255 0.4505
Ir 0.6745 0.1250 0.0495
Ir 0.8750 0.9245 0.5495



3.
ScInIr2 | GGA-PBE | optimized geometry

Summary:
E_form = -0.3949 eV per atom
calculated density = 13.05 g cm⁻³
DOS at the Fermi energy = 1.44 states/eV per cell

Lattice parameters (Å, degrees): 3.0114 4.1400 5.5530 90.00 90.24 90.00
Sites, in units of the cell vectors:
Sc 0.0000 0.0000 0.0000
In 0.4992 0.5000 0.6893
Ir 0.5007 0.5000 0.1903
Ir 0.9992 0.0000 0.4875



4.
Sc4In3Ir | GGA-PBE | optimized geometry

Summary:
E_form = -0.5858 eV per atom
calculated density = 7.04 g cm⁻³
DOS at the Fermi energy = 5.06 states/eV per cell

Lattice parameters (Å, degrees): 3.1661 3.1661 16.8538 90.00 90.00 90.00
Sites, in units of the cell vectors:
Sc 0.0000 0.0000 0.0993
Sc 0.0000 0.0000 0.3677
Sc 0.0000 0.0000 0.6323
Sc 0.0000 0.0000 0.9007
In 0.5000 0.5000 0.2370
In 0.5000 0.5000 0.5000
In 0.5000 0.5000 0.7630
Ir 0.5000 0.5000 0.0000



5.
Sc4In2Ir | GGA-PBE | optimized geometry

Summary:
E_form = -0.2382 eV per atom
calculated density = 5.44 g cm⁻³
DOS at the Fermi energy = 5.64 states/eV per cell

Lattice parameters (Å, degrees): 8.0645 8.0645 8.0645 143.58 143.58 52.46
Sites, in units of the cell vectors:
Sc 0.0000 0.5000 0.5000
Sc 0.1754 0.1754 0.0000
Sc 0.5000 0.0000 0.5000
Sc 0.8246 0.8246 0.0000
In 0.3766 0.3766 0.0000
In 0.6234 0.6234 0.0000
Ir 0.0000 0.0000 0.0000



6.
Sc5In4Ir | GGA-PBE | optimized geometry

Summary:
E_form = -0.5535 eV per atom
calculated density = 6.81 g cm⁻³
DOS at the Fermi energy = 6.74 states/eV per cell

Lattice parameters (Å, degrees): 3.1620 3.1620 21.3847 90.00 90.00 90.00
Sites, in units of the cell vectors:
Sc 0.0000 0.0000 0.0000
Sc 0.0000 0.0000 0.2089
Sc 0.0000 0.0000 0.4217
Sc 0.0000 0.0000 0.5783
Sc 0.0000 0.0000 0.7911
In 0.5000 0.5000 0.1043
In 0.5000 0.5000 0.3124
In 0.5000 0.5000 0.6876
In 0.5000 0.5000 0.8957
Ir 0.5000 0.5000 0.5000



7.
ScInIr2 | GGA-PBE | optimized geometry

Summary:
E_form = -0.5877 eV per atom
calculated density = 13.30 g cm⁻³
DOS at the Fermi energy = 1.33 states/eV per cell

Lattice parameters (Å, degrees): 3.1758 3.4080 6.2762 90.00 90.00 90.00
Sites, in units of the cell vectors:
Sc 0.0000 0.0000 0.0000
In 0.0000 0.0000 0.5000
Ir 0.5000 0.5000 0.2464
Ir 0.5000 0.5000 0.7536



8.
Sc6In2Ir | GGA-PBE | optimized geometry

Summary:
ΔE to the lowest computed polymorph = 0 meV per atom
E_form = -0.4988 eV per atom
calculated density = 5.61 g cm⁻³
DOS at the Fermi energy = 9.51 states/eV per cell

Lattice parameters (Å, degrees): 8.0802 8.0802 3.6204 90.00 90.00 120.00
Sites, in units of the cell vectors:
Sc 0.0000 0.3815 0.0000
Sc 0.0000 0.7535 0.5000
Sc 0.2465 0.2465 0.5000
Sc 0.3815 0.0000 0.0000
Sc 0.6185 0.6185 0.0000
Sc 0.7535 0.0000 0.5000
In 0.3333 0.6667 0.5000
In 0.6667 0.3333 0.5000
Ir 0.0000 0.0000 0.0000



Q: Look up the DOS at the Fermi energy of the fifth one.
A: 5.64 states/eV per cell



Q: Which value of E_form does entry 6 give?
A: -0.5535 eV per atom



Repeat the second record exactly.
ScInIr2 | GGA-PBE | optimized geometry

Summary:
E_form = 0.0646 eV per atom
calculated density = 11.54 g cm⁻³
DOS at the Fermi energy = 6.45 states/eV per cell

Lattice parameters (Å, degrees): 9.3434 9.3434 9.3434 153.99 153.99 37.11
Sites, in units of the cell vectors:
Sc 0.0000 0.0000 0.0000
Sc 0.7500 0.2500 0.5000
In 0.2500 0.7500 0.5000
In 0.5000 0.5000 0.0000
Ir 0.0755 0.6250 0.9505
Ir 0.3750 0.3255 0.4505
Ir 0.6745 0.1250 0.0495
Ir 0.8750 0.9245 0.5495